(1)
{
  "formula": "Mg5As",
  "functional": "PBE",
  "state": "relaxed",
  "lattice": [[5.769, -1.529, 0.000], [5.769, 1.529, 0.000], [-2.630, 0.000, 7.431]],
  "species": ["Mg", "Mg", "Mg", "Mg", "Mg", "As"],
  "frac_coords": [[0.000, 0.000, 0.000], [0.024, 0.024, 0.610], [0.390, 0.390, 0.260], [0.672, 0.672, 0.353], [0.716, 0.716, 0.932], [0.310, 0.310, 0.675]],
  "crystal_system": "monoclinic",
  "relative_energy_mev_per_atom": 56.1,
  "sg": "No. 8"
}

(2)
{
  "formula": "Ta2In2Cl",
  "functional": "PBE",
  "state": "relaxed",
  "lattice": [[8.667, 0.000, 0.000], [0.000, 8.667, 0.000], [0.000, 0.000, 3.060]],
  "species": ["Ta", "Ta", "Ta", "Ta", "In", "In", "In", "In", "Cl", "Cl"],
  "frac_coords": [[0.106, 0.394, 0.000], [0.394, 0.894, 0.000], [0.606, 0.106, 0.000], [0.894, 0.606, 0.000], [0.187, 0.687, 0.500], [0.313, 0.187, 0.500], [0.687, 0.813, 0.500], [0.813, 0.313, 0.500], [0.000, 0.000, 0.500], [0.500, 0.500, 0.500]],
  "crystal_system": "tetragonal",
  "relative_energy_mev_per_atom": 14.7,
  "sg": "No. 127",
  "e_form_raw_ev_per_atom": 0.49
}

(3)
{
  "formula": "Ca3LaPb4",
  "functional": "PBE",
  "state": "relaxed",
  "lattice": [[4.617, 0.000, 0.000], [0.000, 5.138, 0.000], [0.000, 0.000, 10.316]],
  "species": ["Ca", "Ca", "Ca", "La", "Pb", "Pb", "Pb", "Pb"],
  "frac_coords": [[0.000, 0.000, 0.000], [0.000, 0.500, 0.243], [0.000, 0.500, 0.757], [0.000, 0.000, 0.500], [0.500, 0.000, 0.248], [0.500, 0.000, 0.752], [0.500, 0.500, 0.000], [0.500, 0.500, 0.500]],
  "crystal_system": "orthorhombic",
  "sg": "No. 47",
  "e_tot_ev_per_atom": -3.75
}

(4)
{
  "formula": "MgCo2Sb",
  "functional": "PBE",
  "state": "relaxed",
  "lattice": [[4.601, -1.571, 0.000], [4.601, 1.571, 0.000], [-1.347, 0.000, 4.118]],
  "species": ["Mg", "Co", "Co", "Sb"],
  "frac_coords": [[0.000, 0.000, 0.000], [0.486, 0.486, 0.494], [0.749, 0.749, 0.149], [0.227, 0.227, 0.639]],
  "crystal_system": "monoclinic",
  "sg": "No. 8",
  "e_form_raw_ev_per_atom": 0.08
}

(5)
{
  "formula": "ScB2Mo",
  "functional": "PBE",
  "state": "relaxed",
  "lattice": [[0.000, 2.865, 2.865], [2.865, 0.000, 2.865], [2.865, 2.865, 0.000]],
  "species": ["Sc", "B", "B", "Mo"],
  "frac_coords": [[0.000, 0.000, 0.000], [0.250, 0.250, 0.250], [0.750, 0.750, 0.750], [0.500, 0.500, 0.500]],
  "crystal_system": "cubic",
  "relative_energy_mev_per_atom": 849.8,
  "sg": "No. 225"
}

(6)
{
  "formula": "AcCe2UN4",
  "functional": "PBE",
  "state": "relaxed",
  "lattice": [[-2.570, 2.570, 5.109], [2.570, -2.570, 5.109], [2.570, 2.570, -5.109]],
  "species": ["Ac", "Ce", "Ce", "U", "N", "N", "N", "N"],
  "frac_coords": [[0.000, 0.000, 0.000], [0.500, 0.500, 0.000], [0.750, 0.250, 0.500], [0.250, 0.750, 0.500], [0.035, 0.535, 0.500], [0.263, 0.263, 0.000], [0.465, 0.965, 0.500], [0.737, 0.737, 0.000]],
  "crystal_system": "tetragonal",
  "sg": "No. 119",
  "e_form_raw_ev_per_atom": -1.26
}

(7)
{
  "formula": "La2Al2Fe2C",
  "functional": "PBE",
  "state": "relaxed",
  "lattice": [[5.571, -2.102, 0.000], [5.571, 2.102, 0.000], [-4.841, 0.000, 5.664]],
  "species": ["La", "La", "Al", "Al", "Fe", "Fe", "C"],
  "frac_coords": [[0.057, 0.057, 0.326], [0.943, 0.943, 0.674], [0.327, 0.327, 0.898], [0.673, 0.673, 0.102], [0.313, 0.313, 0.209], [0.687, 0.687, 0.791], [0.500, 0.500, 0.500]],
  "crystal_system": "monoclinic",
  "sg": "No. 12",
  "e_tot_ev_per_atom": -6.50
}

(8)
{
  "formula": "FeP3Ru",
  "functional": "PBE",
  "state": "relaxed",
  "lattice": [[4.512, 0.000, 0.000], [0.000, 4.512, 0.000], [0.000, 0.000, 4.512]],
  "species": ["Fe", "P", "P", "P", "Ru"],
  "frac_coords": [[0.000, 0.000, 0.000], [0.000, 0.500, 0.500], [0.500, 0.000, 0.500], [0.500, 0.500, 0.000], [0.500, 0.500, 0.500]],
  "crystal_system": "cubic",
  "sg": "No. 221",
  "e_tot_ev_per_atom": -5.60
}